Computed, not measured: an optimized crystal structure of Na2PmCoO4 at the PBE with a Hubbard U level of DFT.

The total magnetization is 2.0 μB per formula unit. As for the electronic total energy: -47.27 eV per formula unit.

The space group is I-4 (No. 82) and the conventional cell measures 5.701, 5.701 and 6.578 Å, with angles of 90.00, 90.00 and 90.00 degrees. The inequivalent atoms are Na at (0.000, 0.000, 0.000), Na at (0.000, 0.500, 0.250), Pm at (0.000, 0.000, 0.500), Co at (0.000, 0.500, 0.750) and O at (0.213, 0.266, 0.691).